[1]
Here is a relaxed structure of Na2Te3As from the Alexandria database. Energies are from PBE-GGA.

Cell lengths 7.331, 8.168, 8.168 Å; angles 54.94, 89.87, 89.87 degrees
Positions (direct):
Te 0.750 0.540 0.460
Te 0.500 0.854 0.857
Te 0.000 0.143 0.146
Te 0.500 0.146 0.143
Te 0.000 0.857 0.854
Te 0.250 0.460 0.540
Na 0.252 0.851 0.524
Na 0.248 0.476 0.149
Na 0.752 0.524 0.851
Na 0.748 0.149 0.476
As 0.750 0.898 0.102
As 0.250 0.102 0.898

Results
- Space group: C2/c, No. 15
- Magnetic moment: 0.0 μB per formula unit
- Total energy: -3.165 eV per atom
- Relative energy among the computed polymorphs: 0 meV per atom

[2]
Here is a relaxed structure of Na3Te12As5 from the Alexandria database. Energies are from PBE-GGA.

Cell lengths 15.129, 15.129, 15.129 Å; angles 109.47, 109.47, 109.47 degrees
Positions (direct):
Te 0.674 0.212 0.587
Te 0.125 0.413 0.088
Te 0.174 0.087 0.712
Te 0.913 0.826 0.788
Te 0.875 0.587 0.912
Te 0.088 0.913 0.125
Te 0.413 0.125 0.588
Te 0.087 0.912 0.375
Te 0.412 0.375 0.587
Te 0.538 0.212 0.125
Te 0.288 0.413 0.826
Te 0.212 0.538 0.625
Te 0.788 0.462 0.375
Te 0.038 0.412 0.826
Te 0.587 0.875 0.412
Te 0.212 0.674 0.087
Te 0.962 0.588 0.174
Te 0.375 0.412 0.087
Te 0.788 0.326 0.913
Te 0.375 0.962 0.788
Te 0.912 0.826 0.538
Te 0.625 0.038 0.212
Te 0.962 0.375 0.288
Te 0.588 0.962 0.674
Te 0.174 0.088 0.962
Te 0.712 0.125 0.038
Te 0.462 0.674 0.088
Te 0.462 0.788 0.875
Te 0.625 0.588 0.913
Te 0.674 0.462 0.588
Te 0.875 0.288 0.462
Te 0.326 0.788 0.413
Te 0.912 0.087 0.875
Te 0.826 0.913 0.288
Te 0.038 0.625 0.712
Te 0.712 0.587 0.174
Te 0.412 0.038 0.326
Te 0.588 0.625 0.413
Te 0.826 0.912 0.038
Te 0.413 0.288 0.326
Te 0.125 0.712 0.538
Te 0.587 0.712 0.674
Te 0.088 0.174 0.462
Te 0.913 0.088 0.625
Te 0.288 0.875 0.962
Te 0.326 0.538 0.412
Te 0.087 0.174 0.212
Te 0.538 0.326 0.912
As 0.500 0.000 0.500
As 0.750 0.125 0.875
As 0.500 0.500 0.000
As 0.875 0.250 0.625
As 0.125 0.750 0.375
As 0.250 0.875 0.125
As 0.000 0.000 0.000
As 0.875 0.625 0.750
As 0.000 0.500 0.000
As 0.500 0.500 0.500
As 0.375 0.125 0.750
As 0.500 0.000 0.000
As 0.000 0.000 0.500
As 0.375 0.250 0.125
As 0.000 0.500 0.500
As 0.750 0.625 0.375
As 0.250 0.375 0.625
As 0.625 0.750 0.875
As 0.625 0.875 0.250
As 0.125 0.375 0.250
Na 0.625 0.375 0.750
Na 0.625 0.250 0.375
Na 0.375 0.625 0.250
Na 0.875 0.750 0.125
Na 0.250 0.125 0.375
Na 0.250 0.625 0.875
Na 0.125 0.875 0.750
Na 0.375 0.750 0.625
Na 0.750 0.375 0.125
Na 0.750 0.875 0.625
Na 0.125 0.250 0.875
Na 0.875 0.125 0.250

Results
- Space group: Ia-3d, No. 230
- Magnetic moment: 0.0 μB per formula unit
- Total energy: -3.302 eV per atom

[3]
Here is a relaxed structure of NaTe2As from the Alexandria database. Energies are from PBE-GGA.

Cell lengths 4.208, 4.208, 8.094 Å; angles 74.93, 74.93, 60.00 degrees
Positions (direct):
Na 0.500 0.500 0.501
Te 0.263 0.263 0.211
Te 0.070 0.070 0.789
As 0.667 0.667 0.000

Results
- Space group: R3m, No. 160
- Magnetic moment: 0.0 μB per formula unit
- Total energy: -3.404 eV per atom

[4]
Here is a relaxed structure of NaTe3As2 from the Alexandria database. Energies are from PBE-GGA.

Cell lengths 8.133, 7.986, 7.625 Å; angles 57.56, 77.88, 82.95 degrees
Positions (direct):
Te 0.851 0.902 0.084
Te 0.740 0.288 0.567
Te 0.346 0.969 0.821
Te 0.286 0.788 0.425
Te 0.764 0.723 0.677
Te 0.245 0.361 0.249
As 0.456 0.053 0.427
As 0.946 0.591 0.437
As 0.066 0.806 0.827
As 0.980 0.057 0.473
Na 0.264 0.362 0.835
Na 0.561 0.616 0.167

Results
- Space group: P1, No. 1
- Magnetic moment: 0.0 μB per formula unit
- Total energy: -3.549 eV per atom
- Relative energy among the computed polymorphs: 0 meV per atom

[5]
Here is a relaxed structure of Na3Te4As2 from the Alexandria database. Energies are from PBE-GGA.

Cell lengths 9.747, 8.781, 8.892 Å; angles 119.59, 88.78, 90.00 degrees
Positions (direct):
As 0.497 0.467 0.622
As 0.503 0.533 0.378
As 0.003 0.844 0.378
As 0.997 0.156 0.622
Te 0.756 0.673 0.379
Te 0.500 0.783 0.889
Te 0.500 0.217 0.111
Te 0.000 0.894 0.111
Te 0.244 0.327 0.621
Te 0.256 0.705 0.379
Te 0.744 0.295 0.621
Te 0.000 0.106 0.889
Na 0.750 0.625 0.000
Na 0.817 0.262 0.255
Na 0.683 0.007 0.745
Na 0.183 0.738 0.745
Na 0.317 0.993 0.255
Na 0.250 0.375 0.000

Results
- Space group: C2/c, No. 15
- Magnetic moment: 0.0 μB per formula unit
- Total energy: -3.296 eV per atom
- Relative energy among the computed polymorphs: 0 meV per atom

[6]
Here is a relaxed structure of Na3Te4As from the Alexandria database. Energies are from PBE-GGA.

Cell lengths 8.124, 11.636, 11.287 Å; angles 90.00, 90.00, 90.00 degrees
Positions (direct):
As 0.866 0.506 0.750
As 0.634 0.006 0.250
As 0.366 0.994 0.750
As 0.134 0.494 0.250
Na 0.854 0.247 0.977
Na 0.646 0.747 0.023
Na 0.646 0.747 0.477
Na 0.647 0.465 0.250
Na 0.353 0.535 0.750
Na 0.354 0.253 0.977
Na 0.146 0.753 0.477
Na 0.354 0.253 0.523
Na 0.854 0.247 0.523
Na 0.146 0.753 0.023
Na 0.853 0.965 0.750
Na 0.147 0.035 0.250
Te 0.534 0.803 0.750
Te 0.172 0.011 0.941
Te 0.828 0.989 0.059
Te 0.435 0.828 0.250
Te 0.966 0.303 0.250
Te 0.466 0.197 0.250
Te 0.328 0.511 0.059
Te 0.172 0.011 0.559
Te 0.034 0.697 0.750
Te 0.565 0.172 0.750
Te 0.328 0.511 0.441
Te 0.828 0.989 0.441
Te 0.065 0.328 0.750
Te 0.672 0.489 0.941
Te 0.935 0.672 0.250
Te 0.672 0.489 0.559

Results
- Space group: Pnma, No. 62
- Magnetic moment: 0.0 μB per formula unit
- Total energy: -3.137 eV per atom
- Relative energy among the computed polymorphs: 0 meV per atom

[7]
Here is a relaxed structure of NaTe2As from the Alexandria database. Energies are from PBE-GGA.

Cell lengths 9.342, 9.342, 9.342 Å; angles 26.34, 26.34, 26.34 degrees
Positions (direct):
Te 0.892 0.892 0.892
Te 0.108 0.108 0.108
As 0.500 0.500 0.500
Na 0.000 0.000 0.000

Results
- Space group: R-3m, No. 166
- Magnetic moment: 0.0 μB per formula unit
- Total energy: -3.236 eV per atom

[8]
Here is a relaxed structure of Na2Te3As from the Alexandria database. Energies are from PBE-GGA.

Cell lengths 6.435, 7.225, 19.706 Å; angles 90.00, 90.00, 116.44 degrees
Positions (direct):
Na 0.951 0.902 0.188
Na 0.049 0.098 0.812
Na 0.138 0.275 0.477
Na 0.638 0.275 0.023
Na 0.451 0.902 0.312
Na 0.862 0.725 0.523
Na 0.362 0.725 0.977
Na 0.549 0.098 0.688
Te 0.436 0.373 0.250
Te 0.936 0.373 0.250
Te 0.064 0.627 0.750
Te 0.624 0.248 0.473
Te 0.124 0.248 0.027
Te 0.559 0.117 0.862
Te 0.564 0.627 0.750
Te 0.376 0.752 0.527
Te 0.876 0.752 0.973
Te 0.441 0.883 0.138
Te 0.059 0.117 0.638
Te 0.941 0.883 0.362
As 0.762 0.524 0.862
As 0.738 0.476 0.362
As 0.238 0.476 0.138
As 0.262 0.524 0.638

Results
- Space group: Cmce, No. 64
- Magnetic moment: 0.0 μB per formula unit
- Total energy: -3.143 eV per atom
- Relative energy among the computed polymorphs: 23 meV per atom

[9]
Here is a relaxed structure of NaTe2As from the Alexandria database. Energies are from PBE-GGA.

Cell lengths 10.901, 10.901, 10.901 Å; angles 18.07, 18.07, 18.07 degrees
Positions (direct):
As 0.000 0.000 0.000
Te 0.912 0.912 0.912
Te 0.088 0.088 0.088
Na 0.500 0.500 0.500

Results
- Space group: R-3m, No. 166
- Magnetic moment: 0.0 μB per formula unit
- Total energy: -2.997 eV per atom

[10]
Here is a relaxed structure of Na2TeAs from the Alexandria database. Energies are from PBE-GGA.

Cell lengths 5.196, 5.196, 5.196 Å; angles 60.00, 60.00, 60.00 degrees
Positions (direct):
Na 0.750 0.750 0.750
Na 0.250 0.250 0.250
As 0.000 0.000 0.000
Te 0.500 0.500 0.500

Results
- Space group: Fm-3m, No. 225
- Magnetic moment: 0.0 μB per formula unit
- Total energy: -2.877 eV per atom
- Relative energy among the computed polymorphs: 0 meV per atom

[11]
Here is a relaxed structure of Na4TeAs2 from the Alexandria database. Energies are from PBE-GGA.

Cell lengths 6.243, 6.243, 8.110 Å; angles 67.36, 67.36, 90.00 degrees
Site moments in Bohr magnetons follow the coordinates.
Positions (direct):
Na 0.000 0.500 0.000  0.00
Na 0.210 0.210 0.579  0.00
Na 0.500 0.000 0.000  0.00
Na 0.790 0.790 0.421  0.00
As 0.416 0.416 0.168  -0.31
As 0.584 0.584 0.832  -0.31
Te 0.000 0.000 0.000  -0.03

Results
- Space group: I4/mmm, No. 139
- Magnetic moment: 1.9 μB per formula unit
- Total energy: -2.809 eV per atom

[12]
Here is a relaxed structure of Na2TeAs from the Alexandria database. Energies are from PBE-GGA.

Cell lengths 8.509, 8.509, 6.694 Å; angles 50.54, 50.54, 90.00 degrees
Positions (direct):
As 0.500 0.500 0.000
As 0.250 0.750 0.500
Na 0.147 0.625 0.250
Na 0.603 0.125 0.250
Na 0.375 0.397 0.750
Na 0.875 0.853 0.750
Te 0.750 0.250 0.500
Te 0.000 0.000 0.000

Results
- Space group: I-42d, No. 122
- Magnetic moment: 0.0 μB per formula unit
- Total energy: -2.860 eV per atom
- Relative energy among the computed polymorphs: 16 meV per atom

[13]
Here is a relaxed structure of Na3Te2As from the Alexandria database. Energies are from PBE-GGA.

Cell lengths 7.742, 6.984, 8.906 Å; angles 113.09, 115.76, 90.00 degrees
Site moments in Bohr magnetons follow the coordinates.
Positions (direct):
Na 0.225 0.475 0.450  0.00
Na 0.500 0.750 0.000  0.00
Na 0.225 0.975 0.450  0.00
Na 0.775 0.525 0.550  0.00
Na 0.775 0.025 0.550  0.00
Na 0.500 0.250 0.000  0.00
Te 0.148 0.867 0.734  0.06
Te 0.852 0.133 0.266  0.06
Te 0.587 0.367 0.734  0.06
Te 0.413 0.633 0.266  0.06
As 0.000 0.000 0.000  0.33
As 0.000 0.500 0.000  0.33

Results
- Space group: Ibam, No. 72
- Magnetic moment: 1.0 μB per formula unit
- Total energy: -2.930 eV per atom

[14]
Here is a relaxed structure of Na3Te4As from the Alexandria database. Energies are from PBE-GGA.

Cell lengths 8.514, 7.361, 8.983 Å; angles 90.00, 90.00, 90.00 degrees
Positions (direct):
Te 0.647 0.493 0.253
Te 0.147 0.507 0.753
Te 0.147 0.507 0.247
Te 0.647 0.493 0.747
Te 0.260 0.775 0.500
Te 0.687 0.011 0.500
Te 0.187 0.989 0.000
Te 0.760 0.225 0.000
Na 0.400 0.158 0.724
Na 0.900 0.842 0.224
Na 0.910 0.381 0.500
Na 0.410 0.619 0.000
Na 0.900 0.842 0.776
Na 0.400 0.158 0.276
As 0.564 0.683 0.500
As 0.064 0.317 0.000

Results
- Space group: Pmn2_1, No. 31
- Magnetic moment: 0.0 μB per formula unit
- Total energy: -3.125 eV per atom
- Relative energy among the computed polymorphs: 12 meV per atom

[15]
Here is a relaxed structure of Na8Te6As from the Alexandria database. Energies are from PBE-GGA.

Cell lengths 9.224, 8.809, 12.692 Å; angles 90.00, 90.00, 90.00 degrees
Positions (direct):
Na 0.877 0.820 0.840
Na 0.069 0.697 0.643
Na 0.255 0.000 0.509
Na 0.069 0.303 0.643
Na 0.424 0.268 0.694
Na 0.877 0.180 0.840
Na 0.576 0.232 0.194
Na 0.123 0.680 0.340
Na 0.745 0.500 0.009
Na 0.931 0.803 0.143
Na 0.424 0.732 0.694
Na 0.621 0.500 0.453
Na 0.931 0.197 0.143
Na 0.379 0.000 0.953
Na 0.576 0.768 0.194
Na 0.123 0.320 0.340
Te 0.480 0.500 0.873
Te 0.256 0.245 0.115
Te 0.719 0.000 0.015
Te 0.520 0.000 0.373
Te 0.744 0.745 0.615
Te 0.744 0.255 0.615
Te 0.807 0.500 0.243
Te 0.281 0.500 0.515
Te 0.012 0.500 0.862
Te 0.988 0.000 0.362
Te 0.256 0.755 0.115
Te 0.193 0.000 0.743
As 0.249 0.500 0.996
As 0.751 0.000 0.496

Results
- Space group: Pmn2_1, No. 31
- Magnetic moment: 0.0 μB per formula unit
- Total energy: -2.938 eV per atom

[16]
Here is a relaxed structure of Na2Te2As from the Alexandria database. Energies are from PBE-GGA.

Cell lengths 8.001, 8.001, 4.432 Å; angles 90.00, 90.00, 90.00 degrees
Positions (direct):
Te 0.673 0.173 0.000
Te 0.827 0.673 0.000
Te 0.173 0.327 0.000
Te 0.327 0.827 0.000
Na 0.360 0.140 0.500
Na 0.860 0.360 0.500
Na 0.140 0.640 0.500
Na 0.640 0.860 0.500
As 0.500 0.500 0.000
As 0.000 0.000 0.000

Results
- Space group: P4/mbm, No. 127
- Magnetic moment: 0.0 μB per formula unit
- Total energy: -3.088 eV per atom
- Relative energy among the computed polymorphs: 189 meV per atom